Entry from Alexandria: a relaxed structure of CaDyTh2 (PBE-GGA).

relative energy among the computed polymorphs = 56.1 meV/atom
E_form = 71 kJ/mol of formula units
total magnetic moment = 0.00 μB per cell
SG = P4/mmm, No. 123
ρ = 8.4 g cm⁻³

Unit cell a=5.2222 b=5.0363 c=5.0363 alpha=90.00 beta=90.00 gamma=90.00
Atoms (fractional coordinates):
Ca  0.5000  0.5000  0.5000
Th  0.0000  0.0000  0.5000
Th  0.0000  0.5000  0.0000
Dy  0.5000  0.0000  0.0000